# Sr2CoOs, relaxed, DFT PBE-GGA
# - size of the total moment (μB per formula unit) = 2.73
# - V (Å³/cell) = 355.5
# - E_form (kcal/mol of atoms) = 21.85
# - excess energy over the best structure of this formula in the dataset (meV/atom) = 751
data_Sr2CoOs
_chemical_formula_sum 'Sr8 Co4 Os4'
_symmetry_space_group_name_H-M 'F -4 3 m'
_symmetry_Int_Tables_number 216
_symmetry_space_group_name_Hall 'F -4 2 3'
_cell_length_a 7.084
_cell_length_b 7.084
_cell_length_c 7.084
_cell_angle_alpha 90.00
_cell_angle_beta 90.00
_cell_angle_gamma 90.00
loop_
_atom_site_label
_atom_site_fract_x
_atom_site_fract_y
_atom_site_fract_z
_atom_site_occupancy
Sr1 0.000 0.000 0.000 1
Sr2 0.250 0.250 0.250 1
Co1 0.000 0.000 0.500 1
Os1 0.250 0.250 0.750 1